Here is a PBEsol-optimized structure of ZrAl2Os from Alexandria. Energies are from meta-GGA SCAN.

Calculated total energy (eV/atom): -29.929
Total magnetic moment (μB per cell): 0.00
Density of states at the Fermi level (states/eV/f.u.): 3.02

Structure (CIF):
```
data_ZrAl2Os
_chemical_formula_sum 'Zr1 Al2 Os1'
_cell_length_a 3.080
_cell_length_b 4.693
_cell_length_c 5.348
_cell_angle_alpha 116.02
_cell_angle_beta 106.73
_cell_angle_gamma 90.00
_symmetry_space_group_name_H-M 'P 1'
_symmetry_Int_Tables_number 1
_symmetry_space_group_name_Hall 'P 1'
loop_
_atom_site_label
_atom_site_type_symbol
_atom_site_fract_x
_atom_site_fract_y
_atom_site_fract_z
_atom_site_occupancy
Os1 Os 0.000 0.500 0.000 1
Al1 Al 0.728 0.728 0.457 1
Al2 Al 0.272 0.272 0.543 1
Zr1 Zr 0.500 0.000 0.000 1
```

=====

Here is a PBEsol-optimized structure of Zr2Al2Os from Alexandria. Energies are from meta-GGA SCAN.

Calculated total energy (eV/atom): -29.251
Total magnetic moment (μB per cell): 0.83
Density of states at the Fermi level (states/eV/f.u.): 2.45

Structure (CIF):
```
data_Zr2Al2Os
_chemical_formula_sum 'Zr2 Al2 Os1'
_cell_length_a 3.762
_cell_length_b 3.762
_cell_length_c 6.991
_cell_angle_alpha 105.61
_cell_angle_beta 105.61
_cell_angle_gamma 90.00
_symmetry_space_group_name_H-M 'P 1'
_symmetry_Int_Tables_number 1
_symmetry_space_group_name_Hall 'P 1'
loop_
_atom_site_label
_atom_site_type_symbol
_atom_site_fract_x
_atom_site_fract_y
_atom_site_fract_z
_atom_site_occupancy
Os1 Os 0.000 0.000 0.000 1
Al1 Al 0.589 0.589 0.179 1
Al2 Al 0.411 0.411 0.821 1
Zr1 Zr 0.250 0.750 0.500 1
Zr2 Zr 0.750 0.250 0.500 1
```

=====

Here is a PBEsol-optimized structure of AlP5 from Alexandria. Energies are from meta-GGA SCAN.

Calculated total energy (eV/atom): -9.083
Total magnetic moment (μB per cell): 0.00
Density of states at the Fermi level (states/eV/f.u.): 2.84

Structure (CIF):
```
data_AlP5
_chemical_formula_sum 'Al1 P5'
_cell_length_a 5.004
_cell_length_b 5.004
_cell_length_c 5.004
_cell_angle_alpha 60.00
_cell_angle_beta 60.00
_cell_angle_gamma 60.00
_symmetry_space_group_name_H-M 'P 1'
_symmetry_Int_Tables_number 1
_symmetry_space_group_name_Hall 'P 1'
loop_
_atom_site_label
_atom_site_type_symbol
_atom_site_fract_x
_atom_site_fract_y
_atom_site_fract_z
_atom_site_occupancy
P1 P 0.250 0.250 0.250 1
P2 P 0.624 0.128 0.624 1
P3 P 0.624 0.624 0.128 1
P4 P 0.624 0.624 0.624 1
P5 P 0.128 0.624 0.624 1
Al1 Al 0.000 0.000 0.000 1
```

=====

Here is a PBEsol-optimized structure of AlP3 from Alexandria. Energies are from meta-GGA SCAN.

Calculated total energy (eV/atom): -9.337
Total magnetic moment (μB per cell): 0.00
Density of states at the Fermi level (states/eV/f.u.): 1.54

Structure (CIF):
```
data_AlP3
_chemical_formula_sum 'Al1 P3'
_cell_length_a 2.589
_cell_length_b 4.780
_cell_length_c 5.349
_cell_angle_alpha 93.87
_cell_angle_beta 104.00
_cell_angle_gamma 90.00
_symmetry_space_group_name_H-M 'P 1'
_symmetry_Int_Tables_number 1
_symmetry_space_group_name_Hall 'P 1'
loop_
_atom_site_label
_atom_site_type_symbol
_atom_site_fract_x
_atom_site_fract_y
_atom_site_fract_z
_atom_site_occupancy
P1 P 0.500 0.500 0.000 1
P2 P 0.317 0.775 0.634 1
P3 P 0.683 0.225 0.366 1
Al1 Al 0.000 0.000 0.000 1
```

=====

Here is a PBEsol-optimized structure of Al5P from Alexandria. Energies are from meta-GGA SCAN.

Calculated total energy (eV/atom): -7.857
Total magnetic moment (μB per cell): 0.00
Density of states at the Fermi level (states/eV/f.u.): 2.57

Structure (CIF):
```
data_Al5P
_chemical_formula_sum 'Al5 P1'
_cell_length_a 5.227
_cell_length_b 5.227
_cell_length_c 5.227
_cell_angle_alpha 60.00
_cell_angle_beta 60.00
_cell_angle_gamma 60.00
_symmetry_space_group_name_H-M 'P 1'
_symmetry_Int_Tables_number 1
_symmetry_space_group_name_Hall 'P 1'
loop_
_atom_site_label
_atom_site_type_symbol
_atom_site_fract_x
_atom_site_fract_y
_atom_site_fract_z
_atom_site_occupancy
P1 P 0.000 0.000 0.000 1
Al1 Al 0.750 0.750 0.750 1
Al2 Al 0.375 0.375 0.375 1
Al3 Al 0.875 0.375 0.375 1
Al4 Al 0.375 0.375 0.875 1
Al5 Al 0.375 0.875 0.375 1
```

=====

Here is a PBEsol-optimized structure of Al2PPb from Alexandria. Energies are from meta-GGA SCAN.

Calculated total energy (eV/atom): -25.427
Total magnetic moment (μB per cell): 0.00
Density of states at the Fermi level (states/eV/f.u.): 0.76

Structure (CIF):
```
data_Al2PPb
_chemical_formula_sum 'Al2 P1 Pb1'
_cell_length_a 3.745
_cell_length_b 4.016
_cell_length_c 6.008
_cell_angle_alpha 90.00
_cell_angle_beta 90.03
_cell_angle_gamma 90.00
_symmetry_space_group_name_H-M 'P 1'
_symmetry_Int_Tables_number 1
_symmetry_space_group_name_Hall 'P 1'
loop_
_atom_site_label
_atom_site_type_symbol
_atom_site_fract_x
_atom_site_fract_y
_atom_site_fract_z
_atom_site_occupancy
Pb1 Pb 0.125 0.500 0.220 1
P1 P 0.625 0.000 0.593 1
Al1 Al 0.125 0.000 0.858 1
Al2 Al 0.625 0.500 0.830 1
```